[1]
64
Lattice="9.089 -0.004 0.011 4.519 7.886 0.011 0.006 0.004 11.600" Properties=species:S:1:pos:R:3 comment="Sr3Ta4Ti4O21 (PBE, relaxed)" dos_ef_per_ev_cell=0.00 final_energy_ev_per_atom=-8.897 raw_formation_energy_kj_per_mol_atoms=-291.1 pbc="T T T"
Sr 10.783 3.247 8.719
Sr 5.435 0.150 8.704
Sr 6.400 4.649 8.711
Sr 2.832 4.638 2.903
Sr 8.179 7.735 2.919
Sr 7.214 3.237 2.911
Ta 4.567 2.603 5.813
Ta 9.048 5.282 5.810
Ta 9.087 5.221 11.610
Ta 4.527 2.664 0.013
Ta 3.428 5.964 6.883
Ta 10.187 1.921 4.740
Ta 6.876 0.003 1.082
Ta 6.739 7.882 10.540
Ti 6.799 7.855 6.901
Ti 7.956 1.977 6.927
Ti 6.815 0.030 4.722
Ti 5.659 5.908 4.695
Ti 10.194 1.987 1.101
Ti 5.671 5.915 1.127
Ti 3.421 5.898 10.522
Ti 7.944 1.970 10.496
O 6.107 2.476 7.057
O 3.825 4.036 7.017
O 3.659 1.268 6.963
O 8.153 6.544 7.051
O 10.646 5.354 7.042
O 8.370 3.821 7.011
O 7.508 5.410 4.566
O 9.790 3.849 4.605
O 9.955 6.617 4.660
O 5.462 1.341 4.572
O 2.968 2.531 4.580
O 5.244 4.065 4.612
O 7.476 5.357 1.211
O 9.730 3.814 1.250
O 9.939 6.568 1.242
O 5.401 1.307 1.217
O 2.918 2.541 1.162
O 5.183 4.063 1.256
O 6.138 2.528 10.412
O 3.884 4.072 10.372
O 3.676 1.317 10.380
O 8.213 6.578 10.406
O 10.697 5.344 10.460
O 8.431 3.822 10.366
O 3.653 6.344 8.741
O 6.297 7.875 8.682
O 8.174 1.587 8.711
O 9.961 1.541 2.882
O 7.318 0.010 2.940
O 5.441 6.298 2.911
O 10.046 1.678 6.714
O 11.724 7.866 6.683
O 5.469 6.206 6.671
O 3.568 6.207 4.909
O 1.890 0.020 4.939
O 8.146 1.679 4.952
O 12.654 6.254 0.883
O 6.452 7.878 0.914
O 8.101 1.653 0.871
O 0.961 1.632 10.739
O 7.163 0.008 10.709
O 5.513 6.232 10.752

***

[2]
14
Lattice="-4.432 1.798 4.577 -6.731 -2.569 -5.507 2.214 -5.206 4.187" Properties=species:S:1:pos:R:3 comment="LaDy4Rh2 (PBE, relaxed)" dos_ef_per_ev_cell=18.72 final_energy_ev_per_atom=-5.924 e_form_ev_per_atom=-0.49 pbc="T T T"
La -6.422 -1.816 -3.111
La -2.527 -4.161 6.368
Dy -3.595 -3.976 2.875
Dy -1.975 -1.409 1.034
Dy -6.973 -4.568 2.223
Dy -5.804 -3.080 5.156
Dy -9.285 -2.983 -0.637
Dy -3.144 -2.898 -1.899
Dy -5.353 -2.002 0.383
Dy 0.336 -2.995 3.895
Rh -1.224 -5.404 3.331
Rh -7.725 -0.574 -0.073
Rh -4.716 -1.413 3.170
Rh -4.233 -4.565 0.088

***

[3]
3
Lattice="-2.967 0.636 -1.748 0.814 -2.515 -2.296 -1.764 -3.054 5.389" Properties=species:S:1:pos:R:3 comment="HoTlGa (PBE, relaxed)" dos_ef_per_ev_cell=3.18 final_energy_ev_per_atom=-3.526 e_form_ev_per_atom=-0.20 pbc="T T T"
Tl -3.561 -4.433 0.923
Ho -1.818 -1.982 -1.143
Ga -1.603 -2.253 1.900

***

[4]
3
Lattice="2.970 0.000 0.000 0.000 2.970 0.000 -1.485 -1.485 4.565" Properties=species:S:1:pos:R:3 comment="MgBPt (PBE, relaxed)" dos_ef_per_ev_cell=0.87 final_energy_ev_per_atom=-4.899 e_form_ev_per_atom=-0.13 pbc="T T T"
Mg 0.000 0.000 2.532
B 1.485 1.485 0.751
Pt 1.485 1.485 4.477

***

[5]
15
Lattice="5.976 0.000 0.000 -2.988 5.175 0.000 0.000 0.000 7.312" Properties=species:S:1:pos:R:3 comment="Cs3ScTe2O9 (PBE, relaxed)" dos_ef_per_ev_cell=9.44 final_energy_ev_per_atom=-5.400 raw_formation_energy_kj_per_mol_atoms=-136.3 pbc="T T T"
Cs 0.000 3.450 4.885
Cs 0.000 0.000 0.000
Cs 2.988 1.725 2.426
Sc 0.000 0.000 3.656
Te 0.000 3.450 1.296
Te 2.988 1.725 6.016
O 4.397 0.911 4.949
O 2.988 3.352 4.949
O 1.579 0.911 4.949
O 1.409 4.264 2.363
O 0.000 1.823 2.363
O -1.409 4.264 2.363
O 2.988 0.000 0.000
O -1.494 2.588 0.000
O 1.494 2.588 0.000

***

[6]
20
Lattice="-0.234 -4.150 -5.458 -6.394 -3.708 3.094 -6.191 6.819 -4.621" Properties=species:S:1:pos:R:3 comment="Pm6Ge3Cl (PBE, relaxed)" dos_ef_per_ev_cell=22.05 final_energy_ev_per_atom=-5.219 raw_formation_energy_kj_per_mol_atoms=-77.1 pbc="T T T"
Pm -7.048 3.009 -7.316
Pm -4.825 0.538 -5.660
Pm -4.591 -2.722 -3.418
Pm -8.228 1.683 -3.566
Pm -7.994 -1.577 -1.325
Pm -5.771 -4.047 0.331
Pm -4.787 1.122 -1.816
Pm -2.550 -1.340 -0.167
Pm -5.016 4.244 -4.235
Pm -7.803 -5.282 -2.749
Pm -10.269 0.301 -6.817
Pm -8.032 -2.160 -5.169
Ge -10.378 -0.474 -3.825
Ge -3.314 -3.929 -1.182
Ge -2.441 -0.565 -3.159
Ge -5.547 -0.870 0.431
Ge -3.096 3.410 -2.310
Ge -7.272 -0.169 -7.415
Cl -6.410 -0.519 -3.492
Cl 0.000 0.000 0.000

***

[7]
6
Lattice="0.000 5.271 5.271 5.271 0.000 5.271 5.271 5.271 0.000" Properties=species:S:1:pos:R:3 comment="BaSr4P (PBE, relaxed)" dos_ef_per_ev_cell=7.43 final_energy_ev_per_atom=-1.936 e_form_ev_per_atom=0.41 pbc="T T T"
Ba 7.907 7.907 7.907
Sr 3.945 6.598 6.598
Sr 6.598 6.598 3.945
Sr 6.598 3.945 6.598
Sr 3.945 3.945 3.945
P 0.000 0.000 0.000

***

[8]
19
Lattice="-5.488 6.432 3.170 -3.110 -0.898 -8.429 -3.525 -7.335 3.913" Properties=species:S:1:pos:R:3 comment="Pm12CdSn6 (PBE, relaxed)" dos_ef_per_ev_cell=20.44 final_energy_ev_per_atom=-4.634 e_form_ev_per_atom=-0.32 pbc="T T T"
Pm -7.827 1.459 -0.611
Pm -7.005 -2.164 -3.164
Pm -7.435 -2.604 1.301
Pm -4.296 -3.260 -0.736
Pm -5.118 0.362 1.817
Pm -4.687 0.802 -2.648
Pm -4.390 -2.937 -6.571
Pm -5.707 -7.253 -1.792
Pm -6.814 3.107 -5.683
Pm -7.733 1.136 5.224
Pm -6.416 5.451 0.445
Pm -5.308 -4.909 4.336
Cd 0.000 0.000 0.000
Sn -7.796 0.854 -3.706
Sn -4.852 2.785 -0.185
Sn -3.753 -2.051 -3.611
Sn -4.326 -2.655 2.359
Sn -7.270 -4.586 -1.162
Sn -8.370 0.250 2.264

***

[9]
4
Lattice="3.931 0.010 0.028 1.956 3.409 0.028 1.920 1.115 6.647" Properties=species:S:1:pos:R:3 comment="Ta2IrBr (PBE, relaxed)" dos_ef_per_ev_cell=1.24 final_energy_ev_per_atom=-8.507 raw_formation_energy_kj_per_mol_atoms=5.0 pbc="T T T"
Ir 1.952 1.134 1.676
Br 5.855 3.401 5.027
Ta 5.884 3.418 0.574
Ta 3.906 2.269 2.832

***

[10]
5
Lattice="-0.705 0.494 -3.910 2.395 -3.100 -0.823 -4.388 -5.456 -1.948" Properties=species:S:1:pos:R:3 comment="Li2PbSe2 (PBE, relaxed)" dos_ef_per_ev_cell=0.00 final_energy_ev_per_atom=-3.750 raw_formation_energy_kj_per_mol_atoms=-81.9 pbc="T T T"
Pb 0.000 0.000 0.000
Se -0.527 -2.392 -2.257
Se -2.171 -5.671 -4.424
Li -2.124 -3.133 -4.112
Li -0.574 -4.930 -2.569

***

[11]
12
Lattice="5.440 0.000 0.000 0.000 6.311 0.000 -2.720 0.000 10.664" Properties=species:S:1:pos:R:3 comment="Tm4TlSb (PBE, relaxed)" dos_ef_per_ev_cell=15.23 final_energy_ev_per_atom=-4.341 raw_formation_energy_kj_per_mol_atoms=-26.9 pbc="T T T"
Tm 2.720 2.032 7.743
Tm 0.000 5.188 2.921
Tm 0.000 5.190 9.261
Tm 2.720 2.035 1.404
Tm 2.720 3.601 4.454
Tm 0.000 0.446 6.211
Tm 2.720 0.465 4.453
Tm 0.000 3.620 6.212
Tl 2.720 5.190 1.583
Tl 0.000 2.035 9.081
Sb 2.720 5.188 7.371
Sb 0.000 2.033 3.293

***

[12]
9
Lattice="7.509 -0.897 -4.376 -4.841 7.273 0.081 -0.597 0.897 8.670" Properties=species:S:1:pos:R:3 comment="Rb4MnSe4 (PBE, relaxed)" dos_ef_per_ev_cell=5.81 final_energy_ev_per_atom=-3.818 raw_formation_energy_kj_per_mol_atoms=-79.2 pbc="T T T"
Rb 1.334 3.188 -2.147
Rb 3.456 0.000 2.147
Rb -3.791 5.696 6.101
Rb -1.647 2.474 2.650
Mn 0.000 0.000 0.000
Se -0.110 6.993 5.246
Se -0.784 1.178 6.329
Se 1.101 1.904 0.870
Se -3.573 5.369 0.683

***

[13]
10
Lattice="4.011 0.000 0.000 0.000 4.011 0.000 0.000 0.000 9.686" Properties=species:S:1:pos:R:3 comment="Pu2Be4PdPt3 (PBE, relaxed)" dos_ef_per_ev_cell=26.15 final_energy_ev_per_atom=-7.325 e_form_ev_per_atom=-0.64 pbc="T T T"
Pu 2.006 0.000 2.372
Pu 0.000 2.006 7.314
Be 2.006 2.006 0.000
Be 0.000 0.000 0.000
Be 2.006 0.000 6.054
Be 0.000 2.006 3.632
Pd 2.006 2.006 4.843
Pt 0.000 0.000 4.843
Pt 2.006 0.000 8.444
Pt 0.000 2.006 1.242

***

[14]
4
Lattice="-4.111 0.334 -4.979 -3.316 -3.952 -3.896 -6.131 -1.492 -1.407" Properties=species:S:1:pos:R:3 comment="AgSe (PBE, relaxed)" dos_ef_per_ev_cell=1.37 final_energy_ev_per_atom=-3.157 raw_formation_energy_kj_per_mol_atoms=1.0 pbc="T T T"
Se -12.580 -4.742 -9.540
Se -0.978 -0.369 -0.742
Ag -10.349 -3.901 -7.848
Ag -3.210 -1.210 -2.434

***

[15]
4
Lattice="4.118 0.000 0.000 2.059 3.566 0.000 2.059 1.189 9.751" Properties=species:S:1:pos:R:3 comment="AcLa2Rh (PBE, relaxed)" dos_ef_per_ev_cell=5.56 final_energy_ev_per_atom=-5.721 e_form_ev_per_atom=-0.39 pbc="T T T"
Ac 4.118 2.377 4.859
La 2.059 1.189 8.140
La 2.059 1.189 1.613
Rh 4.118 2.377 0.015

***

[16]
8
Lattice="4.166 -0.001 0.000 -2.083 6.412 0.000 0.000 0.000 9.915" Properties=species:S:1:pos:R:3 comment="SrPr2Pt (PBE, relaxed)" dos_ef_per_ev_cell=9.91 final_energy_ev_per_atom=-4.838 e_form_ev_per_atom=-0.52 pbc="T T T"
Sr 2.081 5.467 2.479
Sr 0.001 0.944 7.436
Pr -0.001 4.540 5.594
Pr 2.083 1.871 4.321
Pr -0.001 4.540 9.278
Pr 2.083 1.871 0.637
Pt 2.083 3.510 7.436
Pt -0.001 2.901 2.479

***

[17]
12
Lattice="-6.845 -2.945 3.325 7.047 -4.003 0.947 1.498 6.773 5.738" Properties=species:S:1:pos:R:3 comment="Rb3AcPm2Te6 (PBE, relaxed)" dos_ef_per_ev_cell=0.00 final_energy_ev_per_atom=-4.379 raw_formation_energy_kj_per_mol_atoms=-138.1 pbc="T T T"
Rb 5.516 -0.443 4.206
Rb -3.816 0.268 5.804
Rb 0.850 -0.087 5.005
Ac 0.000 0.000 0.000
Pm 2.421 -3.651 1.739
Pm -2.220 -3.297 2.533
Te -1.059 0.289 8.202
Te 0.454 -3.628 4.270
Te 2.759 -0.464 1.808
Te 3.742 -0.077 7.380
Te 1.246 3.453 5.740
Te -2.042 -0.098 2.630

***

[18]
10
Lattice="6.783 0.000 0.000 0.000 6.783 0.000 3.392 3.392 4.797" Properties=species:S:1:pos:R:3 comment="Rb2BaCaF6 (PBE, relaxed)" dos_ef_per_ev_cell=0.00 final_energy_ev_per_atom=-5.069 raw_formation_energy_kj_per_mol_atoms=-324.2 pbc="T T T"
Ca 3.392 3.392 0.000
Ba 0.000 0.000 0.000
Rb 6.783 3.392 2.398
Rb 3.392 6.783 2.398
F 3.392 3.392 2.254
F 6.783 6.783 2.543
F 1.798 1.798 0.000
F 4.986 4.986 0.000
F 4.986 1.798 0.000
F 1.798 4.986 0.000

***

[19]
15
Lattice="-3.169 6.345 0.360 -2.131 2.553 6.274 8.994 8.255 3.714" Properties=species:S:1:pos:R:3 comment="Tb4Pr8Sm3 (PBE, relaxed)" dos_ef_per_ev_cell=25.02 final_energy_ev_per_atom=-4.576 e_form_ev_per_atom=0.15 pbc="T T T"
Tb 0.000 0.000 0.000
Tb 7.165 11.190 5.917
Tb 1.847 8.576 5.174
Tb -3.471 5.963 4.431
Pr 1.038 4.344 2.603
Pr -0.155 5.552 5.725
Pr -1.744 8.735 5.905
Pr -0.675 7.454 2.759
Pr 2.656 12.808 7.745
Pr 3.848 11.600 4.623
Pr 5.438 8.418 4.443
Pr 4.369 9.699 7.589
Sm 2.912 7.300 2.037
Sm 4.497 4.127 1.857
Sm 3.431 5.404 4.994

***

[20]
4
Lattice="8.529 -0.315 -0.184 8.164 2.490 -0.184 8.164 1.064 2.259" Properties=species:S:1:pos:R:3 comment="BeAsP2 (PBE, relaxed)" dos_ef_per_ev_cell=1.28 final_energy_ev_per_atom=-4.303 e_form_ev_per_atom=0.50 pbc="T T T"
P 0.416 0.054 0.032
P 12.013 1.565 0.914
As 6.214 0.810 0.473
Be 18.643 2.429 1.418